(1)
SrMo2Pt, relaxed, DFT PBE; space group = Pmmm; ΔH_f (0 K) = 0.604 eV/atom; V = 77.5 Å³ per cell; D(E_F) = 1.098 states/eV per atom; relative energy among the computed polymorphs = 38.00 kJ per mole of atoms
1.0
3.380 0.000 0.000
0.000 4.464 0.000
0.000 0.000 5.135
Sr Mo Pt
1 2 1
direct
0.000 0.000 0.000 Sr
0.000 0.500 0.500 Mo
0.500 0.000 0.500 Mo
0.500 0.500 0.000 Pt

---

(2)
ZrOsPt2, relaxed, DFT PBE; space group = Cmmm; ΔH_f (0 K) = -0.424 eV/atom; V = 65.4 Å³ per cell; D(E_F) = 1.079 states/eV per atom
1.0
2.809 -4.044 0.000
2.809 4.044 0.000
0.000 0.000 2.879
Zr Os Pt
1 1 2
direct
0.000 0.000 0.000 Zr
0.500 0.500 0.000 Os
0.000 0.500 0.500 Pt
0.500 0.000 0.500 Pt

---

(3)
Tm2HfPt, relaxed, DFT PBE; space group = P4/mmm; ΔH_f (0 K) = -0.561 eV/atom; V = 92.3 Å³ per cell; D(E_F) = 1.065 states/eV per atom
1.0
3.452 0.000 0.000
0.000 3.452 0.000
0.000 0.000 7.748
Tm Hf Pt
2 1 1
direct
0.000 0.000 0.216 Tm
0.000 0.000 0.784 Tm
0.500 0.500 0.500 Hf
0.500 0.500 0.000 Pt

---

V of number 3 (Tm2HfPt)? 92.3 Å³ per cell

---

The lowest ΔH_f (0 K) belongs to which entry? Tm2HfPt

---

The highest ΔH_f (0 K) belongs to which entry? SrMo2Pt

---

Look up the V of the third one. 92.3 Å³ per cell